Mn3VNi2P6O24 PBE+U relaxed; electronic total energy = -254.6 eV for the cell shown; space group = R3, No. 146
1.0
4.294 2.479 6.860
-4.294 2.479 6.860
0.000 -4.958 6.860
Mn V Ni P O
3 1 2 6 24
Direct
0.000 0.000 0.000
0.215 0.215 0.215
0.500 0.500 0.500
0.715 0.715 0.715
0.358 0.358 0.358
0.857 0.857 0.857
0.108 0.400 0.814
0.313 0.901 0.608
0.400 0.814 0.108
0.608 0.313 0.901
0.814 0.108 0.400
0.901 0.608 0.313
0.044 0.242 0.850
0.100 0.449 0.306
0.114 0.916 0.770
0.172 0.369 0.969
0.242 0.850 0.044
0.267 0.417 0.613
0.306 0.100 0.449
0.347 0.746 0.542
0.369 0.969 0.172
0.417 0.613 0.267
0.449 0.306 0.100
0.472 0.854 0.680
0.542 0.347 0.746
0.601 0.796 0.944
0.613 0.267 0.417
0.680 0.472 0.854
0.746 0.542 0.347
0.770 0.114 0.916
0.796 0.944 0.601
0.850 0.044 0.242
0.854 0.680 0.472
0.916 0.770 0.114
0.944 0.601 0.796
0.969 0.172 0.369